Record 1
KPtRh GGA-PBE relaxed; formation energy = 0.127 eV per atom; mass density = 8.28 g/cm3; relative energy among the computed polymorphs = 0 meV/atom; symmetry = Imm2 (44); total magnetic moment = 0.000 μB/atom
1.0
-1.384 2.129 5.734
1.384 -2.129 5.734
1.384 2.129 -5.734
K Pt Rh
1 1 1
Cartesian
0.000 0.000 0.000 K
0.000 0.000 3.189 Pt
0.000 0.000 8.319 Rh

***

Record 2
K2PtRh GGA-PBE relaxed; formation energy = 0.513 eV per atom; mass density = 7.21 g/cm3; relative energy among the computed polymorphs = 324 meV/atom; symmetry = P4/mmm (123); total magnetic moment = 0.052 μB/atom
1.0
4.084 0.000 0.000
0.000 4.084 0.000
0.000 0.000 5.192
K Pt Rh
2 1 1
Cartesian
0.000 2.042 0.000 K
2.042 0.000 0.000 K
0.000 0.000 2.596 Pt
2.042 2.042 2.596 Rh

***

Record 3
KPtRh GGA-PBE relaxed; formation energy = 0.874 eV per atom; mass density = 8.17 g/cm3; relative energy among the computed polymorphs = 747 meV/atom; symmetry = F-43m (216); total magnetic moment = 0.511 μB/atom
1.0
0.000 3.248 3.248
3.248 0.000 3.248
3.248 3.248 0.000
K Pt Rh
1 1 1
Cartesian
0.000 0.000 0.000 K
3.248 3.248 3.248 Pt
4.872 4.872 4.872 Rh

***

- Which value of mass density does entry 1 give?
  8.28 g/cm3